No. 1
YEr2Mg, optimized geometry, DFT GGA-PBE; total energy = -4.170 eV/atom; size of the total moment = 0.00 μB per cell
1.0
6.427 -1.709 0.000
6.427 1.709 0.000
-0.884 0.000 11.003
Y Er Mg
2 4 2
Cartesian
1.695 0.000 0.024
10.276 0.000 10.979
-0.101 0.000 3.116
2.691 0.000 8.179
9.279 0.000 2.824
12.072 0.000 7.888
4.303 0.000 5.353
7.667 0.000 5.650

---

No. 2
Y6Er8Mg, optimized geometry, DFT GGA-PBE; total energy = -4.881 eV/atom; size of the total moment = 0.00 μB per cell
1.0
9.247 0.000 0.000
-4.623 8.008 0.000
0.000 0.000 6.597
Y Er Mg
6 8 1
Cartesian
-1.044 3.297 0.668
-1.246 7.263 0.668
2.333 2.552 5.930
2.290 5.455 0.668
5.869 0.745 5.930
5.667 4.711 5.930
-3.043 5.498 2.598
1.383 2.624 2.598
2.964 0.114 3.999
0.000 5.339 4.367
4.623 2.669 2.231
1.660 7.894 2.598
3.240 5.384 3.999
7.666 2.510 3.999
0.000 0.000 0.000

---

No. 3
Y6ErMg, optimized geometry, DFT GGA-PBE; total energy = -5.498 eV/atom; size of the total moment = 0.00 μB per cell
1.0
4.664 2.693 3.357
-4.664 2.693 3.357
0.000 -5.386 3.357
Y Er Mg
6 1 1
Cartesian
-3.333 -0.740 4.483
-1.025 -3.256 5.588
-2.307 2.516 5.588
2.307 -2.516 4.483
1.025 3.256 4.483
3.333 0.740 5.588
0.000 0.000 5.036
0.000 0.000 0.000

---

No. 4
YEr2Mg, optimized geometry, DFT GGA-PBE; total energy = -4.327 eV/atom; size of the total moment = 0.00 μB per cell
1.0
0.000 3.559 9.263
3.553 0.000 9.263
3.553 3.559 0.000
Y Er Mg
2 4 2
Cartesian
3.553 3.559 2.434
3.553 3.559 16.092
1.776 1.779 0.000
3.553 3.559 6.840
1.776 1.779 9.263
3.553 3.559 11.686
1.776 1.779 4.632
5.329 5.338 13.895

---

No. 5
Y3Er6Mg, optimized geometry, DFT GGA-PBE; total energy = -4.810 eV/atom; size of the total moment = 0.00 μB per cell
1.0
11.031 0.000 0.000
0.000 4.981 0.000
-0.094 0.000 11.112
Y Er Mg
6 12 2
Cartesian
0.530 1.245 4.453
1.662 3.736 2.269
2.778 1.245 0.039
8.158 3.736 11.073
9.274 1.245 8.843
10.407 3.736 6.659
0.488 3.736 9.977
1.632 1.245 7.788
2.780 3.736 5.591
3.783 3.736 8.928
3.885 1.245 3.407
4.979 3.736 1.120
5.958 1.245 9.992
7.052 3.736 7.705
7.154 1.245 2.184
8.157 1.245 5.521
9.304 3.736 3.324
10.449 1.245 1.134
4.919 1.245 6.671
6.018 3.736 4.441

---

No. 6
Y7Er4Mg, optimized geometry, DFT GGA-PBE; total energy = -5.310 eV/atom; size of the total moment = 0.00 μB per cell
1.0
11.070 -2.783 0.000
11.070 2.783 0.000
-1.286 0.000 6.225
Y Er Mg
7 4 1
Cartesian
0.000 0.000 0.000
2.358 0.000 3.123
4.561 0.000 0.412
9.142 0.000 4.338
11.713 0.000 1.887
16.293 0.000 5.812
18.496 0.000 3.101
5.667 0.000 3.793
8.278 0.000 0.972
12.576 0.000 5.253
15.187 0.000 2.432
-0.643 0.000 3.112

---

No. 7
YEr5Mg2, optimized geometry, DFT GGA-PBE; total energy = -4.018 eV/atom; size of the total moment = 0.00 μB per cell
1.0
-1.725 5.313 6.399
1.725 -5.313 6.399
1.725 5.313 -6.399
Y Er Mg
1 5 2
Cartesian
0.000 0.000 0.000
1.725 2.873 -1.687
1.725 2.873 1.687
0.000 5.313 0.000
0.000 2.440 4.712
0.000 2.440 8.086
1.725 0.000 3.079
0.000 5.313 3.320

---

No. 8
Y4Er4Mg, optimized geometry, DFT GGA-PBE; total energy = -5.047 eV/atom; size of the total moment = 0.00 μB per cell
1.0
-5.271 5.271 2.485
5.271 -5.271 2.485
5.271 5.271 -2.485
Y Er Mg
4 4 1
Cartesian
1.751 1.751 0.000
3.519 -3.519 2.485
-3.519 3.519 2.485
3.519 3.519 2.485
5.271 1.730 0.000
1.730 5.271 0.000
3.541 0.000 2.485
0.000 3.541 2.485
0.000 0.000 2.485

---

No. 9
Y5Er2Mg5, optimized geometry, DFT GGA-PBE; total energy = -4.163 eV/atom; size of the total moment = 0.00 μB per cell
1.0
8.551 -1.804 0.000
8.551 1.804 0.000
-5.104 0.000 11.026
Y Er Mg
5 2 5
Cartesian
0.000 0.000 0.000
-2.870 0.000 8.188
0.156 0.000 5.744
11.842 0.000 5.282
14.868 0.000 2.838
2.673 0.000 8.177
9.325 0.000 2.849
3.545 0.000 2.459
0.536 0.000 11.020
5.999 0.000 5.513
11.462 0.000 0.006
8.453 0.000 8.567

---

No. 10
YErMg, optimized geometry, DFT GGA-PBE; total energy = -3.855 eV/atom; size of the total moment = 0.02 μB per cell
1.0
3.433 0.000 0.000
0.000 5.320 0.000
0.000 0.000 5.389
Y Er Mg
1 1 1
Cartesian
0.000 0.000 0.000
0.000 2.660 2.694
1.716 0.000 2.694

---

No. 11
Y6Er12Mg, optimized geometry, DFT GGA-PBE; total energy = -4.869 eV/atom; size of the total moment = 0.02 μB per cell
1.0
6.457 3.728 4.216
-6.457 3.728 4.216
0.000 -7.456 4.216
Y Er Mg
6 12 1
Cartesian
-1.758 -1.015 3.420
1.758 -1.015 3.420
0.000 2.029 3.420
0.000 -2.029 9.228
-1.758 1.015 9.228
1.758 1.015 9.228
0.000 -4.271 3.596
-3.699 2.136 3.596
-1.686 -2.920 6.324
-3.371 0.000 6.324
-3.699 -2.136 9.052
1.686 -2.920 6.324
-1.686 2.920 6.324
3.699 2.136 3.596
3.371 0.000 6.324
1.686 2.920 6.324
3.699 -2.136 9.052
0.000 4.271 9.052
0.000 0.000 6.324

---

No. 12
Y2Er6Mg, optimized geometry, DFT GGA-PBE; total energy = -4.626 eV/atom; size of the total moment = 0.00 μB per cell
1.0
10.460 0.000 0.000
0.000 10.460 0.000
0.000 0.000 4.975
Y Er Mg
4 12 2
Cartesian
1.713 1.713 0.000
3.517 6.943 2.487
6.943 3.517 2.487
8.748 8.748 0.000
0.014 6.955 2.487
1.725 5.216 0.000
1.768 8.692 0.000
3.462 3.462 2.487
3.506 10.446 2.487
5.216 1.725 0.000
5.244 8.736 0.000
6.955 0.014 2.487
6.998 6.998 2.487
8.692 1.768 0.000
8.736 5.244 0.000
10.446 3.506 2.487
0.000 0.000 2.487
5.230 5.230 0.000

---

Number 1: N(E_F) 1.583 states/eV per atom. Number 2: N(E_F) 1.377 states/eV per atom. Number 3: N(E_F) 1.781 states/eV per atom. Number 4: N(E_F) 1.107 states/eV per atom. Number 5: N(E_F) 1.415 states/eV per atom. Number 6: N(E_F) 1.686 states/eV per atom. Number 7: N(E_F) 1.480 states/eV per atom. Number 8: N(E_F) 1.662 states/eV per atom. Number 9: N(E_F) 1.131 states/eV per atom. Number 10: N(E_F) 1.358 states/eV per atom. Number 11: N(E_F) 1.766 states/eV per atom. Number 12: N(E_F) 1.493 states/eV per atom.